# AlNi2Cl, relaxed, DFT PBE-GGA
# Spin magnetization ... 0.0 μB per formula unit
# ΔE_f (raw) ... 190 meV per atom
# Energy above the most stable polymorph in this dataset ... 1.80 eV/f.u.
# DFT total energy ... -0.1506 hartree per atom
data_AlNi2Cl
_chemical_formula_sum 'Al2 Ni4 Cl2'
_symmetry_space_group_name_H-M 'C m m m'
_symmetry_Int_Tables_number 65
_symmetry_space_group_name_Hall '-C 2 2'
_cell_length_a 5.3515
_cell_length_b 7.0188
_cell_length_c 2.8622
_cell_angle_alpha 90.00
_cell_angle_beta 90.00
_cell_angle_gamma 90.00
loop_
_atom_site_label
_atom_site_type_symbol
_atom_site_fract_x
_atom_site_fract_y
_atom_site_fract_z
Al1 Al 0.0000 0.0000 0.0000
Ni1 Ni 0.2500 0.2500 0.5000
Cl1 Cl 0.0000 0.5000 0.0000